No. 1
Compound: Lu2Sb2O7
Source: Alexandria via LeMat-Bulk
Functional: meta-GGA SCAN
Structure: single point on PBEsol structure

```
Lu2Sb2O7
1.0
7.372 0.000 0.000
-3.686 6.384 0.000
0.000 0.000 18.046
Lu Sb O
12 12 42
direct
0.000 0.831 0.167 Lu
0.000 0.850 0.667 Lu
0.150 0.150 0.000 Lu
0.169 0.169 0.500 Lu
0.173 0.681 0.011 Lu
0.319 0.492 0.345 Lu
0.492 0.319 0.655 Lu
0.508 0.827 0.678 Lu
0.681 0.173 0.989 Lu
0.827 0.508 0.322 Lu
0.831 0.000 0.833 Lu
0.850 0.000 0.333 Lu
0.000 0.318 0.667 Sb
0.000 0.321 0.167 Sb
0.171 0.669 0.501 Sb
0.318 0.000 0.333 Sb
0.321 0.000 0.833 Sb
0.331 0.501 0.834 Sb
0.499 0.829 0.167 Sb
0.501 0.331 0.166 Sb
0.669 0.171 0.499 Sb
0.679 0.679 0.500 Sb
0.682 0.682 0.000 Sb
0.829 0.499 0.833 Sb
0.008 0.330 0.291 O
0.018 0.820 0.531 O
0.025 0.855 0.284 O
0.055 0.450 0.802 O
0.106 0.656 0.392 O
0.145 0.170 0.617 O
0.170 0.145 0.383 O
0.180 0.197 0.864 O
0.196 0.687 0.137 O
0.197 0.180 0.136 O
0.250 0.693 0.605 O
0.307 0.557 0.939 O
0.313 0.510 0.470 O
0.321 0.992 0.958 O
0.330 0.008 0.709 O
0.344 0.450 0.726 O
0.395 0.945 0.468 O
0.443 0.750 0.272 O
0.450 0.055 0.198 O
0.450 0.344 0.274 O
0.490 0.804 0.803 O
0.510 0.313 0.530 O
0.550 0.605 0.135 O
0.550 0.894 0.059 O
0.557 0.307 0.061 O
0.605 0.550 0.865 O
0.656 0.106 0.608 O
0.670 0.679 0.625 O
0.679 0.670 0.375 O
0.687 0.196 0.863 O
0.693 0.250 0.395 O
0.750 0.443 0.728 O
0.803 0.982 0.197 O
0.804 0.490 0.197 O
0.820 0.018 0.469 O
0.830 0.975 0.950 O
0.855 0.025 0.716 O
0.894 0.550 0.941 O
0.945 0.395 0.532 O
0.975 0.830 0.050 O
0.982 0.803 0.803 O
0.992 0.321 0.042 O
```

## Properties
- Formation energy from raw total energies: -28.70 eV/f.u.
- Calculated total energy: -23.412 eV/atom
- Magnetic moment: 0.00 μB per atom

No. 2
Compound: Lu3Sb5O12
Source: Alexandria via LeMat-Bulk
Functional: meta-GGA SCAN
Structure: single point on PBEsol structure

```
Lu3Sb5O12
1.0
-5.274 5.274 5.274
5.274 -5.274 5.274
5.274 5.274 -5.274
Lu Sb O
6 10 24
direct
0.250 0.500 0.750 Lu
0.250 0.750 0.500 Lu
0.500 0.250 0.750 Lu
0.500 0.750 0.250 Lu
0.750 0.250 0.500 Lu
0.750 0.500 0.250 Lu
0.000 0.000 0.524 Sb
0.000 0.280 0.280 Sb
0.000 0.524 0.000 Sb
0.000 0.720 0.720 Sb
0.280 0.000 0.280 Sb
0.280 0.280 0.000 Sb
0.476 0.476 0.476 Sb
0.524 0.000 0.000 Sb
0.720 0.000 0.720 Sb
0.720 0.720 0.000 Sb
0.000 0.205 0.483 O
0.000 0.483 0.205 O
0.000 0.499 0.705 O
0.000 0.705 0.499 O
0.205 0.000 0.483 O
0.205 0.483 0.000 O
0.207 0.501 0.501 O
0.278 0.795 0.795 O
0.295 0.295 0.793 O
0.295 0.793 0.295 O
0.483 0.000 0.205 O
0.483 0.205 0.000 O
0.499 0.000 0.705 O
0.499 0.705 0.000 O
0.501 0.207 0.501 O
0.501 0.501 0.207 O
0.517 0.517 0.722 O
0.517 0.722 0.517 O
0.705 0.000 0.499 O
0.705 0.499 0.000 O
0.722 0.517 0.517 O
0.793 0.295 0.295 O
0.795 0.278 0.795 O
0.795 0.795 0.278 O
```

## Properties
- Formation energy from raw total energies: -49.00 eV/f.u.
- Calculated total energy: -23.805 eV/atom
- Magnetic moment: 0.00 μB per atom

No. 3
Compound: LuScO3
Source: Alexandria via LeMat-Bulk
Functional: meta-GGA SCAN
Structure: single point on PBEsol structure

```
LuScO3
1.0
5.611 0.000 0.000
0.000 7.833 0.000
0.000 0.000 5.297
Lu Sc O
4 4 12
direct
0.065 0.250 0.023 Lu
0.435 0.750 0.523 Lu
0.565 0.250 0.477 Lu
0.935 0.750 0.977 Lu
0.000 0.000 0.500 Sc
0.000 0.500 0.500 Sc
0.500 0.000 0.000 Sc
0.500 0.500 0.000 Sc
0.067 0.750 0.357 O
0.192 0.575 0.812 O
0.192 0.925 0.812 O
0.308 0.075 0.312 O
0.308 0.425 0.312 O
0.433 0.250 0.857 O
0.567 0.750 0.143 O
0.692 0.575 0.688 O
0.692 0.925 0.688 O
0.808 0.075 0.188 O
0.808 0.425 0.188 O
0.933 0.250 0.643 O
```

## Properties
- Formation energy from raw total energies: -19.63 eV/f.u.
- Calculated total energy: -21.580 eV/atom
- Magnetic moment: 0.00 μB per atom